The following is a PBE calculation of a relaxed structure of Mn2CdFe, from Alexandria via LeMat-Bulk.

## Properties
N(E_F), states/eV/f.u.: 3.84
DFT formation energy, eV/atom: 0.4153
Total DFT energy (no corrections), eV/f.u.: -26.1

Cell lengths 4.238, 2.691, 5.337 Å; angles 76.92, 90.00, 90.00 degrees
Each line ends with the local moment (μB).
Fractional coordinates of all 4 atoms:
Fe  0.500  0.813  0.785  2.46
Mn  0.000  0.952  0.993  2.78
Cd  0.000  0.519  0.506  -0.06
Mn  0.500  0.217  0.217  3.31

***

The following is a PBE calculation of a relaxed structure of MnCd2Fe, from Alexandria via LeMat-Bulk.

## Properties
Offset from the most stable computed form, meV/atom: 168.0
N(E_F), states/eV/f.u.: 7.42
DFT formation energy, eV/atom: 0.4157
Total DFT energy (no corrections), eV/f.u.: -17.8

Cell lengths 4.568, 4.568, 4.568 Å; angles 60.00, 60.00, 60.00 degrees
Each line ends with the local moment (μB).
Fractional coordinates of all 4 atoms:
Cd  0.000  0.000  0.000  -0.03
Mn  0.750  0.750  0.750  3.45
Cd  0.250  0.250  0.250  -0.04
Fe  0.500  0.500  0.500  2.52

***

The following is a PBE calculation of a relaxed structure of Mn2CdFe, from Alexandria via LeMat-Bulk.

## Properties
N(E_F), states/eV/f.u.: 5.02
DFT formation energy, eV/atom: 0.3049
Total DFT energy (no corrections), eV/f.u.: -26.5

Cell lengths 2.685, 2.685, 7.686 Å; angles 90.00, 90.00, 90.00 degrees
Each line ends with the local moment (μB).
Fractional coordinates of all 4 atoms:
Cd  0.500  0.500  0.250  -0.05
Fe  0.500  0.500  0.750  -1.47
Mn  0.000  0.000  0.961  2.59
Mn  0.000  0.000  0.539  2.59

***

The following is a PBE calculation of a relaxed structure of Mn2CdFe2, from Alexandria via LeMat-Bulk.

## Properties
Offset from the most stable computed form, meV/atom: 0.0
N(E_F), states/eV/f.u.: 5.49
DFT formation energy, eV/atom: 0.3422
Total DFT energy (no corrections), eV/f.u.: -34.5

Cell lengths 6.969, 6.969, 2.558 Å; angles 90.00, 90.00, 90.00 degrees
Fractional coordinates of all 10 atoms:
Mn  0.838  0.338  0.500
Fe  0.122  0.378  0.000
Mn  0.662  0.838  0.500
Mn  0.338  0.162  0.500
Mn  0.162  0.662  0.500
Cd  0.000  0.000  0.000
Fe  0.878  0.622  0.000
Fe  0.622  0.122  0.000
Fe  0.378  0.878  0.000
Cd  0.500  0.500  0.000

***

The following is a PBE calculation of a relaxed structure of Mn2CdFe, from Alexandria via LeMat-Bulk.

## Properties
N(E_F), states/eV/f.u.: 3.14
DFT formation energy, eV/atom: 0.3770
Total DFT energy (no corrections), eV/f.u.: -26.2

Cell lengths 4.105, 2.698, 5.486 Å; angles 75.48, 90.00, 90.00 degrees
Each line ends with the local moment (μB).
Fractional coordinates of all 4 atoms:
Fe  0.500  0.750  0.750  2.21
Mn  0.000  0.934  0.965  3.08
Mn  0.000  0.566  0.535  3.08
Cd  0.500  0.250  0.250  -0.06

***

The following is a PBE calculation of a relaxed structure of MnCd2Fe, from Alexandria via LeMat-Bulk.

## Properties
Offset from the most stable computed form, meV/atom: 72.8
N(E_F), states/eV/f.u.: 2.09
DFT formation energy, eV/atom: 0.3205
Total DFT energy (no corrections), eV/f.u.: -18.2

Cell lengths 5.502, 5.502, 4.897 Å; angles 64.64, 64.64, 30.46 degrees
Each line ends with the local moment (μB).
Fractional coordinates of all 4 atoms:
Cd  0.237  0.237  0.305  -0.06
Mn  0.769  0.769  0.772  3.38
Fe  0.485  0.485  0.471  2.62
Cd  0.008  0.008  0.952  -0.06

***

The following is a PBE calculation of a relaxed structure of MnCdFe4, from Alexandria via LeMat-Bulk.

## Properties
N(E_F), states/eV/f.u.: 4.79
DFT formation energy, eV/atom: 0.2286
Total DFT energy (no corrections), eV/f.u.: -42.6

Cell lengths 4.814, 4.814, 4.814 Å; angles 60.00, 60.00, 60.00 degrees
Each line ends with the local moment (μB).
Fractional coordinates of all 6 atoms:
Fe  0.873  0.376  0.376  1.92
Mn  0.750  0.750  0.750  3.37
Fe  0.376  0.376  0.873  1.92
Fe  0.376  0.376  0.376  1.92
Cd  0.000  0.000  0.000  -0.07
Fe  0.376  0.873  0.376  1.92

***

The following is a PBE calculation of a relaxed structure of MnCd4Fe, from Alexandria via LeMat-Bulk.

## Properties
N(E_F), states/eV/f.u.: 8.61
DFT formation energy, eV/atom: 0.5481
Total DFT energy (no corrections), eV/f.u.: -18.0

Cell lengths 5.530, 5.530, 5.530 Å; angles 60.00, 60.00, 60.00 degrees
Each line ends with the local moment (μB).
Fractional coordinates of all 6 atoms:
Cd  0.875  0.375  0.375  -0.05
Cd  0.375  0.375  0.375  -0.05
Cd  0.375  0.875  0.375  -0.05
Mn  0.000  0.000  0.000  3.86
Cd  0.375  0.375  0.875  -0.05
Fe  0.750  0.750  0.750  2.91

***

The following is a PBE calculation of a relaxed structure of Mn2CdFe, from Alexandria via LeMat-Bulk.

## Properties
N(E_F), states/eV/f.u.: 5.82
DFT formation energy, eV/atom: 0.7323
Total DFT energy (no corrections), eV/f.u.: -24.8

Cell lengths 6.808, 6.808, 5.475 Å; angles 51.56, 51.56, 90.00 degrees
Each line ends with the local moment (μB).
Fractional coordinates of all 8 atoms:
Mn  0.566  0.125  0.250  2.47
Fe  0.500  0.500  0.000  -1.31
Mn  0.375  0.434  0.750  2.48
Cd  0.000  0.000  0.000  -0.02
Cd  0.750  0.250  0.500  -0.02
Mn  0.875  0.816  0.750  2.49
Mn  0.184  0.625  0.250  2.48
Fe  0.250  0.750  0.500  -1.31

***

The following is a PBE calculation of a relaxed structure of MnCd2Fe, from Alexandria via LeMat-Bulk.

## Properties
Offset from the most stable computed form, meV/atom: 136.3
N(E_F), states/eV/f.u.: 2.54
DFT formation energy, eV/atom: 0.3840
Total DFT energy (no corrections), eV/f.u.: -17.9

Cell lengths 2.900, 5.031, 5.748 Å; angles 54.44, 90.00, 90.00 degrees
Each line ends with the local moment (μB).
Fractional coordinates of all 4 atoms:
Fe  0.500  0.500  0.500  2.68
Cd  0.000  0.000  0.000  -0.05
Cd  0.500  0.500  0.000  -0.05
Mn  0.000  0.000  0.500  3.57

***

The following is a PBE calculation of a relaxed structure of Mn2CdFe, from Alexandria via LeMat-Bulk.

## Properties
N(E_F), states/eV/f.u.: 3.78
DFT formation energy, eV/atom: 0.2922
Total DFT energy (no corrections), eV/f.u.: -26.5

Cell lengths 2.708, 3.514, 5.897 Å; angles 90.00, 90.00, 90.00 degrees
Each line ends with the local moment (μB).
Fractional coordinates of all 4 atoms:
Cd  0.000  0.000  0.505  -0.03
Mn  0.500  0.500  0.202  2.61
Mn  0.000  0.000  0.999  -2.40
Fe  0.500  0.500  0.793  1.96

***

The following is a PBE calculation of a relaxed structure of MnCd3Fe, from Alexandria via LeMat-Bulk.

## Properties
Offset from the most stable computed form, meV/atom: 0.0
N(E_F), states/eV/f.u.: 4.15
DFT formation energy, eV/atom: 0.8399
Total DFT energy (no corrections), eV/f.u.: -16.2

Cell lengths 4.965, 4.965, 4.965 Å; angles 90.00, 90.00, 90.00 degrees
Each line ends with the local moment (μB).
Fractional coordinates of all 5 atoms:
Cd  0.000  0.500  0.000  -0.04
Cd  0.000  0.000  0.500  -0.03
Mn  0.500  0.500  0.500  4.31
Fe  0.000  0.000  0.000  2.30
Cd  0.500  0.000  0.000  -0.05

***

The following is a PBE calculation of a relaxed structure of MnCd2Fe, from Alexandria via LeMat-Bulk.

## Properties
Offset from the most stable computed form, meV/atom: 81.0
N(E_F), states/eV/f.u.: 3.41
DFT formation energy, eV/atom: 0.3287
Total DFT energy (no corrections), eV/f.u.: -18.1

Cell lengths 4.608, 2.861, 5.062 Å; angles 90.03, 90.00, 90.00 degrees
Each line ends with the local moment (μB).
Fractional coordinates of all 4 atoms:
Fe  0.000  0.625  0.479  2.57
Cd  0.500  0.125  0.297  -0.06
Cd  0.000  0.126  0.954  -0.06
Mn  0.500  0.625  0.770  3.37

***

The following is a PBE calculation of a relaxed structure of MnCdFe2N, from Alexandria via LeMat-Bulk.

## Properties
N(E_F), states/eV/f.u.: 4.99
Total DFT energy (no corrections), eV/f.u.: -35.4

Cell lengths 3.895, 3.895, 4.043 Å; angles 90.00, 90.00, 90.00 degrees
Each line ends with the local moment (μB).
Fractional coordinates of all 5 atoms:
Fe  0.500  0.000  0.000  2.23
Cd  0.500  0.500  0.500  -0.08
Fe  0.000  0.500  0.000  2.23
N  0.000  0.000  0.000  -0.02
Mn  0.000  0.000  0.500  3.06

***

The following is a PBE calculation of a relaxed structure of Mn2CdFeN, from Alexandria via LeMat-Bulk.

## Properties
N(E_F), states/eV/f.u.: 3.56
Total DFT energy (no corrections), eV/f.u.: -36.3

Cell lengths 4.067, 4.067, 3.836 Å; angles 90.00, 90.00, 90.00 degrees
Each line ends with the local moment (μB).
Fractional coordinates of all 5 atoms:
Fe  0.000  0.000  0.500  2.20
Cd  0.500  0.500  0.500  -0.08
N  0.000  0.000  0.000  -0.04
Mn  0.500  0.000  0.000  3.15
Mn  0.000  0.500  0.000  3.15